A geometry-optimized CePaTcN3 structure, computed with PBE.

Results
crystal system: monoclinic
volume: 210 Å³/cell
energy relative to the elements, uncorrected: -1.012 eV per atom
raw total energy: -9.47 eV/atom
space group: No. 11

Cell: 3.4698 7.1424 8.6767 Å, 102.61 90.00 90.00°
Fractional positions:
Ce: 0.7500 0.8340 0.8510
Ce: 0.2500 0.1660 0.1490
Pa: 0.2500 0.6656 0.1568
Pa: 0.7500 0.3344 0.8432
Tc: 0.2500 0.0225 0.6218
Tc: 0.7500 0.9775 0.3782
N: 0.2500 0.8362 0.4068
N: 0.7500 0.8951 0.1289
N: 0.7500 0.4229 0.1149
N: 0.7500 0.1638 0.5932
N: 0.2500 0.5771 0.8851
N: 0.2500 0.1049 0.8711